No. 1
# Tb2Ge2O7 | Alexandria | GGA-PBE | optimized geometry
# - calculated total energy (eV/cell) = -327.71
data_Tb2Ge2O7
_cell_length_a 6.8969
_cell_length_b 6.8969
_cell_length_c 12.5708
_cell_angle_alpha 90.00
_cell_angle_beta 90.00
_cell_angle_gamma 90.00
_space_group_name_H-M_alt 'P 1'
_space_group_IT_number 1
loop_
_space_group_symop_operation_xyz
'x,y,z'
loop_
_atom_site_label
_atom_site_type_symbol
_atom_site_fract_x
_atom_site_fract_y
_atom_site_fract_z
Tb1 Tb 0.1243 0.3514 0.1157
Tb2 Tb 0.1486 0.6243 0.3657
Tb3 Tb 0.3514 0.1243 0.8843
Tb4 Tb 0.3757 0.8514 0.1343
Tb5 Tb 0.6243 0.1486 0.6343
Tb6 Tb 0.6486 0.8757 0.3843
Tb7 Tb 0.8514 0.3757 0.8657
Tb8 Tb 0.8757 0.6486 0.6157
Ge1 Ge 0.0993 0.1531 0.6299
Ge2 Ge 0.1531 0.0993 0.3701
Ge3 Ge 0.3469 0.5993 0.8799
Ge4 Ge 0.4007 0.6531 0.6201
Ge5 Ge 0.5993 0.3469 0.1201
Ge6 Ge 0.6531 0.4007 0.3799
Ge7 Ge 0.8469 0.9007 0.8701
Ge8 Ge 0.9007 0.8469 0.1299
O1 O 0.0299 0.0777 0.8740
O2 O 0.0643 0.6622 0.1784
O3 O 0.0777 0.0299 0.1260
O4 O 0.1433 0.3148 0.2955
O5 O 0.1622 0.4357 0.9284
O6 O 0.1852 0.6433 0.5455
O7 O 0.1971 0.1971 0.5000
O8 O 0.3029 0.6971 0.7500
O9 O 0.3148 0.1433 0.7045
O10 O 0.3378 0.9357 0.3216
O11 O 0.3567 0.8148 0.9545
O12 O 0.4223 0.5299 0.1240
O13 O 0.4357 0.1622 0.0716
O14 O 0.4701 0.5777 0.3760
O15 O 0.5299 0.4223 0.8760
O16 O 0.5643 0.8378 0.5716
O17 O 0.5777 0.4701 0.6240
O18 O 0.6433 0.1852 0.4545
O19 O 0.6622 0.0643 0.8216
O20 O 0.6852 0.8567 0.2045
O21 O 0.6971 0.3029 0.2500
O22 O 0.8029 0.8029 0.0000
O23 O 0.8148 0.3567 0.0455
O24 O 0.8378 0.5643 0.4284
O25 O 0.8567 0.6852 0.7955
O26 O 0.9223 0.9701 0.6260
O27 O 0.9357 0.3378 0.6784
O28 O 0.9701 0.9223 0.3740

No. 2
# Tl2InSn | Alexandria | GGA-PBE | optimized geometry
# - excess energy over the best structure of this formula in the dataset (meV/atom) = 0
# - calculated formation energy (eV per atom) = 0.022
data_Tl2InSn
_cell_length_a 5.4968
_cell_length_b 5.4968
_cell_length_c 5.4968
_cell_angle_alpha 59.82
_cell_angle_beta 59.82
_cell_angle_gamma 59.82
_space_group_name_H-M_alt 'P 1'
_space_group_IT_number 1
loop_
_space_group_symop_operation_xyz
'x,y,z'
loop_
_atom_site_label
_atom_site_type_symbol
_atom_site_fract_x
_atom_site_fract_y
_atom_site_fract_z
Tl1 Tl 0.0000 0.0000 0.0000
Tl2 Tl 0.2499 0.2499 0.2499
In1 In 0.5000 0.5000 0.5000
Sn1 Sn 0.7503 0.7503 0.7503

No. 3
# Ca2TcBr4 | Alexandria | GGA-PBE | optimized geometry
# - calculated total energy (eV/cell) = -25.97
data_Ca2TcBr4
_cell_length_a 8.1383
_cell_length_b 8.1383
_cell_length_c 8.1383
_cell_angle_alpha 143.24
_cell_angle_beta 143.24
_cell_angle_gamma 52.96
_space_group_name_H-M_alt 'P 1'
_space_group_IT_number 1
loop_
_space_group_symop_operation_xyz
'x,y,z'
loop_
_atom_site_label
_atom_site_type_symbol
_atom_site_fract_x
_atom_site_fract_y
_atom_site_fract_z
Ca1 Ca 0.1231 0.1231 0.0000
Ca2 Ca 0.8769 0.8769 0.0000
Tc1 Tc 0.5000 0.5000 0.0000
Br1 Br 0.0000 0.5000 0.5000
Br2 Br 0.3182 0.3182 0.0000
Br3 Br 0.5000 0.0000 0.5000
Br4 Br 0.6818 0.6818 0.0000

no.,calculated volume (A^3/atom)
1,13.59
2,29.24
3,27.41